Run P
The following is a DFT calculation (PBE-GGA) of crystalline GeMo2C at its relaxed geometry.

total moment	0.00	μB per formula unit
SG	R3m, No. 160

Cell lengths 3.121, 3.121, 6.639 Å; angles 76.41, 76.41, 60.00 degrees
Atoms (fractional coordinates):
C (0.667, 0.667, 0.999)
Ge (0.500, 0.500, 0.501)
Mo (0.273, 0.273, 0.180)
Mo (0.060, 0.060, 0.819)

---

Run Q
The following is a DFT calculation (PBE-GGA) of crystalline GeMo2C at its relaxed geometry.

total moment	0.00	μB per formula unit
SG	I-42d, No. 122

Cell lengths 5.130, 5.130, 6.366 Å; angles 66.24, 66.24, 90.00 degrees
Atoms (fractional coordinates):
Mo (0.216, 0.625, 0.250)
Mo (0.534, 0.125, 0.250)
Mo (0.375, 0.466, 0.750)
Mo (0.875, 0.784, 0.750)
Ge (0.750, 0.250, 0.500)
Ge (0.000, 0.000, 0.000)
C (0.500, 0.500, 0.000)
C (0.250, 0.750, 0.500)

---

Least stable structure: run Q

---

Run P
The following is a DFT calculation (PBE-GGA) of crystalline Ge3MoC at its relaxed geometry.

total moment	0.00	μB per formula unit
SG	Pm-3m, No. 221

Cell lengths 4.232, 4.232, 4.232 Å; angles 90.00, 90.00, 90.00 degrees
Atoms (fractional coordinates):
C (0.000, 0.000, 0.000)
Ge (0.000, 0.000, 0.500)
Ge (0.500, 0.000, 0.000)
Ge (0.000, 0.500, 0.000)
Mo (0.500, 0.500, 0.500)

---

Run Q
The following is a DFT calculation (PBE-GGA) of crystalline Ge3MoC at its relaxed geometry.

total moment	2.24	μB per formula unit
SG	Pm-3m, No. 221

Cell lengths 4.869, 4.869, 4.869 Å; angles 90.00, 90.00, 90.00 degrees
Atoms (fractional coordinates):
Ge (0.500, 0.000, 0.000)
Ge (0.000, 0.000, 0.500)
Ge (0.000, 0.500, 0.000)
Mo (0.000, 0.000, 0.000)
C (0.500, 0.500, 0.500)

---

Least stable structure: run Q

---

Run P
The following is a DFT calculation (PBE-GGA) of crystalline GeC3N at its relaxed geometry.

total moment	0.00	μB per formula unit
SG	Pm-3m, No. 221

Cell lengths 3.544, 3.544, 3.544 Å; angles 90.00, 90.00, 90.00 degrees
Atoms (fractional coordinates):
C (0.000, 0.000, 0.500)
C (0.000, 0.500, 0.000)
C (0.500, 0.000, 0.000)
N (0.000, 0.000, 0.000)
Ge (0.500, 0.500, 0.500)

---

Run Q
The following is a DFT calculation (PBE-GGA) of crystalline GeC3N at its relaxed geometry.

total moment	0.00	μB per formula unit
SG	Pm-3m, No. 221

Cell lengths 3.915, 3.915, 3.915 Å; angles 90.00, 90.00, 90.00 degrees
Atoms (fractional coordinates):
C (0.500, 0.000, 0.000)
C (0.000, 0.000, 0.500)
C (0.000, 0.500, 0.000)
N (0.500, 0.500, 0.500)
Ge (0.000, 0.000, 0.000)

---

Least stable structure: run Q

---

Run P
The following is a DFT calculation (PBE-GGA) of crystalline GeC2N at its relaxed geometry.

total moment	0.00	μB per formula unit
SG	Fm-3m, No. 225

Cell lengths 3.750, 3.750, 3.750 Å; angles 60.00, 60.00, 60.00 degrees
Atoms (fractional coordinates):
C (0.750, 0.750, 0.750)
C (0.250, 0.250, 0.250)
Ge (0.500, 0.500, 0.500)
N (0.000, 0.000, 0.000)

---

Run Q
The following is a DFT calculation (PBE-GGA) of crystalline GeC2N at its relaxed geometry.

total moment	0.00	μB per formula unit
SG	I-42d, No. 122

Cell lengths 4.185, 4.185, 5.188 Å; angles 66.21, 66.21, 90.00 degrees
Atoms (fractional coordinates):
N (0.500, 0.500, 0.000)
N (0.250, 0.750, 0.500)
C (0.875, 0.819, 0.750)
C (0.181, 0.625, 0.250)
C (0.375, 0.431, 0.750)
C (0.569, 0.125, 0.250)
Ge (0.750, 0.250, 0.500)
Ge (0.000, 0.000, 0.000)

---

Least stable structure: run P

---

Run P
The following is a DFT calculation (PBE-GGA) of crystalline GeCN2 at its relaxed geometry.

total moment	0.00	μB per formula unit
SG	I-42d, No. 122

Cell lengths 4.784, 4.784, 4.608 Å; angles 58.73, 58.73, 90.00 degrees
Atoms (fractional coordinates):
N (0.375, 0.513, 0.750)
N (0.875, 0.737, 0.750)
N (0.263, 0.625, 0.250)
N (0.487, 0.125, 0.250)
C (0.250, 0.750, 0.500)
C (0.500, 0.500, 0.000)
Ge (0.000, 0.000, 0.000)
Ge (0.750, 0.250, 0.500)

---

Run Q
The following is a DFT calculation (PBE-GGA) of crystalline GeCN2 at its relaxed geometry.

total moment	0.00	μB per formula unit
SG	P6_3/mmc, No. 194

Cell lengths 3.627, 3.627, 9.825 Å; angles 90.00, 90.00, 120.00 degrees
Atoms (fractional coordinates):
Ge (0.000, 0.000, 0.000)
Ge (0.000, 0.000, 0.500)
N (0.667, 0.333, 0.124)
N (0.333, 0.667, 0.876)
N (0.667, 0.333, 0.376)
N (0.333, 0.667, 0.624)
C (0.333, 0.667, 0.750)
C (0.667, 0.333, 0.250)

---

Run R
The following is a DFT calculation (PBE-GGA) of crystalline GeCN2 at its relaxed geometry.

total moment	0.00	μB per formula unit
SG	Pnma, No. 62

Cell lengths 5.149, 6.348, 8.737 Å; angles 90.00, 90.00, 90.00 degrees
Atoms (fractional coordinates):
Ge (0.250, 0.377, 0.368)
Ge (0.750, 0.123, 0.868)
Ge (0.250, 0.877, 0.132)
Ge (0.750, 0.623, 0.632)
N (0.989, 0.684, 0.209)
N (0.489, 0.316, 0.791)
N (0.511, 0.184, 0.291)
N (0.011, 0.816, 0.709)
N (0.011, 0.316, 0.791)
N (0.511, 0.684, 0.209)
N (0.489, 0.816, 0.709)
N (0.989, 0.184, 0.291)
C (0.750, 0.694, 0.205)
C (0.250, 0.806, 0.705)
C (0.750, 0.194, 0.295)
C (0.250, 0.306, 0.795)

---

Run S
The following is a DFT calculation (PBE-GGA) of crystalline GeCN2 at its relaxed geometry.

total moment	0.00	μB per formula unit
SG	Fm-3m, No. 225

Cell lengths 3.693, 3.693, 3.693 Å; angles 60.00, 60.00, 60.00 degrees
Atoms (fractional coordinates):
C (0.000, 0.000, 0.000)
N (0.750, 0.750, 0.750)
N (0.250, 0.250, 0.250)
Ge (0.500, 0.500, 0.500)

---

Least stable structure: run S

---

Run P
The following is a DFT calculation (PBE-GGA) of crystalline GeCSN2 at its relaxed geometry.

total moment	0.11	μB per formula unit
SG	P4/mmm, No. 123

Cell lengths 3.551, 3.551, 3.988 Å; angles 90.00, 90.00, 90.00 degrees
Atoms (fractional coordinates):
C (0.000, 0.000, 0.000)
N (0.000, 0.500, 0.000)
N (0.500, 0.000, 0.000)
S (0.000, 0.000, 0.500)
Ge (0.500, 0.500, 0.500)

---

Run Q
The following is a DFT calculation (PBE-GGA) of crystalline GeCSN2 at its relaxed geometry.

total moment	0.43	μB per formula unit
SG	P4/mmm, No. 123

Cell lengths 3.505, 3.505, 6.962 Å; angles 90.00, 90.00, 90.00 degrees
Atoms (fractional coordinates):
N (0.500, 0.000, 0.000)
N (0.000, 0.500, 0.000)
C (0.500, 0.500, 0.500)
Ge (0.000, 0.000, 0.000)
S (0.000, 0.000, 0.500)

---

Least stable structure: run Q